No. 1
The following is a PBEsol calculation of a relaxed CaLa3 crystal, from Alexandria via LeMat-Bulk.

POSCAR file:
```
CaLa3
1.0
3.6978 0.0000 0.0000
0.0000 6.4817 0.0000
-1.8489 -3.2409 5.9535
Ca La
1 3
Cartesian
0.0000 0.0411 0.0000
1.8489 3.2772 0.0000
0.0000 4.2824 2.8904
1.8489 1.0416 3.0631
```

Calculated values
Calculated total energy in eV per atom: -4.476
Energy of formation in meV per atom: 67

=====

No. 2
The following is a PBEsol calculation of a relaxed CsFeNiF6 crystal, from Alexandria via LeMat-Bulk.

POSCAR file:
```
CsFeNiF6
1.0
7.1851 0.0000 0.0000
3.5925 6.3198 -0.0090
3.5925 2.0429 5.9805
Cs Fe Ni F
2 2 2 12
Cartesian
7.1851 6.2261 2.1850
7.1851 2.1366 3.7866
3.5925 4.1814 2.9858
0.0000 0.0000 0.0000
5.3888 3.1599 -0.0045
1.7963 3.1599 -0.0045
10.7776 5.8444 1.9124
7.1851 4.5952 5.5422
12.9701 7.0937 5.5662
4.9927 3.3861 1.9171
8.5852 7.0937 5.5662
9.3775 3.3861 1.9171
3.5925 2.5183 4.0591
7.1851 3.7675 0.4294
1.4001 1.2690 0.4053
9.3775 4.9767 4.0545
5.7850 1.2690 0.4053
4.9927 4.9767 4.0545
```

Calculated values
Calculated total energy in eV per atom: -5.242

=====

No. 3
The following is a PBEsol calculation of a relaxed SrTl2Mo crystal, from Alexandria via LeMat-Bulk.

POSCAR file:
```
SrTl2Mo
1.0
3.4621 0.0000 0.0000
0.0000 3.7968 0.0000
0.0000 0.0000 7.1748
Mo Sr Tl
1 1 2
Cartesian
1.7310 1.8984 0.0000
1.7310 1.8984 3.5874
0.0000 0.0000 5.7043
0.0000 0.0000 1.4704
```

Calculated values
Calculated total energy in eV per atom: -4.358
Energy of formation in meV per atom: 359

=====

No. 4
The following is a PBEsol calculation of a relaxed Rb2Ge2S5 crystal, from Alexandria via LeMat-Bulk.

POSCAR file:
```
Rb2Ge2S5
1.0
9.0482 0.0250 0.0260
-1.9400 10.7693 0.0240
-1.9400 -0.3835 10.7625
Rb Ge S
8 8 20
Cartesian
5.3679 5.3669 8.5289
4.3244 2.1035 5.1397
-0.1997 5.0439 2.2835
0.8438 8.3072 5.6728
5.1074 2.2613 0.6260
4.5849 9.8833 8.5421
0.0608 8.1494 10.1865
0.5833 0.5275 2.2704
1.2882 4.8207 7.9115
-0.6441 2.6748 5.6828
3.8800 5.5900 2.9010
5.8123 7.7359 5.1296
6.3433 7.8395 1.4767
3.3490 9.2443 2.9357
-1.1751 2.5712 9.3358
1.8192 1.1665 7.8768
-0.2428 4.5864 9.5607
0.8870 1.0179 5.8546
5.4111 5.8243 1.2517
4.2813 9.3928 4.9579
2.3505 7.2404 2.6689
-1.7064 8.0053 3.4633
2.8177 3.1703 8.1436
6.8746 2.4054 7.3492
2.2597 6.6903 8.1680
7.4326 2.5143 3.8308
2.9085 3.7204 2.6444
-2.2644 7.8965 6.9816
8.3017 2.6787 0.0617
1.3906 10.4630 8.1463
-3.1335 7.7320 10.7508
3.7776 -0.0522 2.6661
0.3221 0.8996 9.5395
4.8462 9.5111 1.2729
0.3221 4.6892 5.8907
4.8462 5.7215 4.9218
```

Calculated values
Calculated total energy in eV per atom: -4.541

=====

No. 5
The following is a PBEsol calculation of a relaxed ZnTcRh crystal, from Alexandria via LeMat-Bulk.

POSCAR file:
```
ZnTcRh
1.0
2.7291 0.0000 0.0000
0.0000 2.7291 0.0000
-1.3645 -1.3645 5.4461
Rh Tc Zn
1 1 1
Cartesian
0.0000 0.0000 0.0322
1.3645 1.3645 1.7595
0.0000 0.0000 3.6545
```

Calculated values
Calculated total energy in eV per atom: -7.134
Energy of formation in meV per atom: -138
Excess energy over the best structure of this formula in the dataset in meV per atom: 0

=====

No. 6
The following is a PBEsol calculation of a relaxed Y2MgOs crystal, from Alexandria via LeMat-Bulk.

POSCAR file:
```
Y2MgOs
1.0
3.3649 0.0000 0.0000
0.0000 4.8919 0.0000
-1.6824 -2.4460 5.6443
Mg Os Y
1 1 2
Cartesian
1.6824 2.4460 0.6680
0.0000 2.4460 2.8042
1.6824 2.4460 5.0334
1.6824 0.0000 2.7830
```

Calculated values
Calculated total energy in eV per atom: -6.920
Energy of formation in meV per atom: -26

=====

No. 7
The following is a PBEsol calculation of a relaxed ScBe2Ni crystal, from Alexandria via LeMat-Bulk.

POSCAR file:
```
ScBe2Ni
1.0
-1.0141 0.3543 3.4828
3.2424 -1.4485 -0.8156
-0.0187 4.8247 -0.4963
Sc Ni Be
1 1 2
Cartesian
-0.0093 2.4124 -0.2481
-0.5071 0.1772 1.7414
1.1261 3.7759 1.8508
1.0835 -0.0454 0.3201
```

Calculated values
Calculated total energy in eV per atom: -5.457
Energy of formation in meV per atom: -266
Excess energy over the best structure of this formula in the dataset in meV per atom: 0

=====

No. 8
The following is a PBEsol calculation of a relaxed IrRu crystal, from Alexandria via LeMat-Bulk.

POSCAR file:
```
IrRu
1.0
-0.7366 -2.1575 -1.4106
2.2370 -1.2639 0.7650
-1.8169 -1.3716 3.0466
Ru Ir
1 1
Cartesian
-0.1582 -2.3965 1.2005
0.0000 0.0000 0.0000
```

Calculated values
Calculated total energy in eV per atom: -10.022
Energy of formation in meV per atom: -24
Excess energy over the best structure of this formula in the dataset in meV per atom: 26

=====

No. 9
The following is a PBEsol calculation of a relaxed Li2LaMg2 crystal, from Alexandria via LeMat-Bulk.

POSCAR file:
```
Li2LaMg2
1.0
3.2409 0.0000 0.0000
0.0000 8.5375 0.0000
0.0000 0.0000 8.5375
Mg Li La
4 4 2
Cartesian
1.6205 1.5021 5.7709
1.6205 5.7709 7.0353
1.6205 7.0353 2.7666
1.6205 2.7666 1.5021
0.0000 3.2532 7.5220
0.0000 7.5220 5.2843
0.0000 5.2843 1.0155
0.0000 1.0155 3.2532
0.0000 0.0000 0.0000
0.0000 4.2687 4.2687
```

Calculated values
Calculated total energy in eV per atom: -2.559
Energy of formation in meV per atom: -16

=====

No. 10
The following is a PBEsol calculation of a relaxed GdYRh2 crystal, from Alexandria via LeMat-Bulk.

POSCAR file:
```
GdYRh2
1.0
4.7933 0.0000 0.0000
2.3966 4.1511 0.0000
2.3966 1.3837 3.9137
Y Gd Rh
1 1 2
Cartesian
0.0000 0.0000 0.0000
4.7933 2.7674 1.9569
7.1899 4.1511 2.9353
2.3966 1.3837 0.9784
```

Calculated values
Calculated total energy in eV per atom: -10.157
Energy of formation in meV per atom: -770

=====

No. 11
The following is a PBEsol calculation of a relaxed HfMgTe2I crystal, from Alexandria via LeMat-Bulk.

POSCAR file:
```
HfMgTe2I
1.0
5.1942 0.0000 0.0000
0.0000 5.3537 0.0000
0.0000 0.0000 5.3537
I Mg Te Hf
1 1 2 1
Cartesian
2.5971 0.0000 0.0000
0.0000 0.0000 0.0000
0.0000 0.0000 2.6769
0.0000 2.6769 0.0000
2.5971 2.6769 2.6769
```

Calculated values
Calculated total energy in eV per atom: -3.821

=====

No. 12
The following is a PBEsol calculation of a relaxed YPt2 crystal, from Alexandria via LeMat-Bulk.

POSCAR file:
```
YPt2
1.0
4.2514 0.0000 0.0000
-2.1257 4.6263 -0.0193
0.0000 -1.5893 5.4856
Y Pt
2 4
Cartesian
2.1257 0.8464 1.6586
0.0000 2.1906 3.8078
2.1257 0.3364 4.5149
0.0000 0.0000 0.0000
0.0000 2.7006 0.9514
0.0000 -0.7947 2.7428
```

Calculated values
Calculated total energy in eV per atom: -7.922
Energy of formation in meV per atom: -1006

=====

Question: Which of these has the lowest calculated total energy?
Answer: GdYRh2

=====

Copy entry 10 word for word.
The following is a PBEsol calculation of a relaxed GdYRh2 crystal, from Alexandria via LeMat-Bulk.

POSCAR file:
```
GdYRh2
1.0
4.7933 0.0000 0.0000
2.3966 4.1511 0.0000
2.3966 1.3837 3.9137
Y Gd Rh
1 1 2
Cartesian
0.0000 0.0000 0.0000
4.7933 2.7674 1.9569
7.1899 4.1511 2.9353
2.3966 1.3837 0.9784
```

Calculated values
Calculated total energy in eV per atom: -10.157
Energy of formation in meV per atom: -770